# 1
# MgMo3Ru, relaxed, DFT GGA-PBE
data_MgMo3Ru
_cell_length_a 4.722
_cell_length_b 4.722
_cell_length_c 4.722
_cell_angle_alpha 90.00
_cell_angle_beta 90.00
_cell_angle_gamma 90.00
_space_group_name_H-M_alt 'P 1'
_space_group_IT_number 1
loop_
_space_group_symop_operation_xyz
'x,y,z'
loop_
_atom_site_label
_atom_site_fract_x
_atom_site_fract_y
_atom_site_fract_z
Mo1 0.000 0.500 0.000
Mo2 0.000 0.000 0.500
Mo3 0.500 0.000 0.000
Ru1 0.000 0.000 0.000
Mg1 0.500 0.500 0.500
# **Energy relative to the lowest polymorph listed for this composition**: 0 meV/atom
# **Theoretical density**: 6.518 g/cm3
# **Total energy**: -7.26 eV per atom
# **Formation energy from the elements**: 1.41 eV/atom
# **Size of the total moment**: 0.000 μB per atom

# 2
# UTl2HgO8, relaxed, DFT GGA-PBE
data_UTl2HgO8
_cell_length_a 5.124
_cell_length_b 5.101
_cell_length_c 7.071
_cell_angle_alpha 84.90
_cell_angle_beta 94.43
_cell_angle_gamma 93.73
_space_group_name_H-M_alt 'P 1'
_space_group_IT_number 1
loop_
_space_group_symop_operation_xyz
'x,y,z'
loop_
_atom_site_label
_atom_site_fract_x
_atom_site_fract_y
_atom_site_fract_z
O1 0.817 0.222 0.807
O2 0.319 0.281 0.001
O3 0.846 0.185 0.250
O4 0.673 0.726 0.494
O5 0.183 0.778 0.193
O6 0.681 0.719 0.999
O7 0.154 0.815 0.750
O8 0.327 0.274 0.506
Hg1 0.000 0.000 0.500
Tl1 0.519 0.479 0.254
Tl2 0.481 0.521 0.746
U1 0.000 0.000 0.000
# **Raw formation energy**: -14.374 eV/f.u.
# **Theoretical density**: 8.840 g/cm3
# **Total energy**: -5.86 eV per atom
# **Size of the total moment**: 0.000 μB per atom

# 3
# Na2LaF, relaxed, DFT GGA-PBE
data_Na2LaF
_cell_length_a 7.004
_cell_length_b 7.004
_cell_length_c 7.010
_cell_angle_alpha 60.03
_cell_angle_beta 60.03
_cell_angle_gamma 90.00
_space_group_name_H-M_alt 'P 1'
_space_group_IT_number 1
loop_
_space_group_symop_operation_xyz
'x,y,z'
loop_
_atom_site_label
_atom_site_fract_x
_atom_site_fract_y
_atom_site_fract_z
Na1 0.373 0.625 0.250
Na2 0.377 0.125 0.250
Na3 0.375 0.623 0.750
Na4 0.875 0.627 0.750
F1 0.500 0.500 0.000
F2 0.250 0.750 0.500
La1 0.000 0.000 0.000
La2 0.750 0.250 0.500
# **Raw formation energy**: -3.433 eV/f.u.
# **Energy relative to the lowest polymorph listed for this composition**: 0 meV/atom
# **Theoretical density**: 2.782 g/cm3
# **Total energy**: -3.22 eV per atom
# **Size of the total moment**: 0.045 μB per atom

# 4
# La3Cd3Ag8, relaxed, DFT GGA-PBE
data_La3Cd3Ag8
_cell_length_a 4.790
_cell_length_b 8.868
_cell_length_c 8.868
_cell_angle_alpha 66.92
_cell_angle_beta 74.33
_cell_angle_gamma 74.33
_space_group_name_H-M_alt 'P 1'
_space_group_IT_number 1
loop_
_space_group_symop_operation_xyz
'x,y,z'
loop_
_atom_site_label
_atom_site_fract_x
_atom_site_fract_y
_atom_site_fract_z
Ag1 0.167 0.193 0.474
Ag2 0.366 0.352 0.917
Ag3 0.833 0.526 0.807
Ag4 0.366 0.917 0.352
Ag5 0.634 0.083 0.648
Ag6 0.634 0.648 0.083
Ag7 0.833 0.807 0.526
Ag8 0.167 0.474 0.193
Cd1 0.000 0.803 0.197
Cd2 0.000 0.197 0.803
Cd3 0.500 0.000 0.000
La1 0.204 0.796 0.796
La2 0.500 0.500 0.500
La3 0.796 0.204 0.204
# **Theoretical density**: 8.189 g/cm3
# **Total energy**: -3.12 eV per atom
# **Formation energy from the elements**: -0.24 eV/atom
# **Size of the total moment**: 0.000 μB per atom

# 5
# Cs3BaU2S9, relaxed, DFT GGA-PBE
data_Cs3BaU2S9
_cell_length_a 7.667
_cell_length_b 7.667
_cell_length_c 9.674
_cell_angle_alpha 90.00
_cell_angle_beta 90.00
_cell_angle_gamma 120.00
_space_group_name_H-M_alt 'P 1'
_space_group_IT_number 1
loop_
_space_group_symop_operation_xyz
'x,y,z'
loop_
_atom_site_label
_atom_site_fract_x
_atom_site_fract_y
_atom_site_fract_z
U1 0.333 0.667 0.151
U2 0.667 0.333 0.849
S1 0.819 0.181 0.700
S2 0.181 0.362 0.300
S3 0.362 0.181 0.700
S4 0.181 0.819 0.300
S5 0.638 0.819 0.300
S6 0.819 0.638 0.700
S7 0.500 0.000 0.000
S8 0.500 0.500 0.000
S9 0.000 0.500 0.000
Cs1 0.000 0.000 0.000
Cs2 0.667 0.333 0.331
Cs3 0.333 0.667 0.669
Ba1 0.000 0.000 0.500
# **Raw formation energy**: -19.415 eV/f.u.
# **Theoretical density**: 4.386 g/cm3
# **Total energy**: -5.57 eV per atom
# **Size of the total moment**: 0.000 μB per atom

# 6
# CoRu2W, relaxed, DFT GGA-PBE
data_CoRu2W
_cell_length_a 4.646
_cell_length_b 4.646
_cell_length_c 4.624
_cell_angle_alpha 80.03
_cell_angle_beta 80.03
_cell_angle_gamma 34.03
_space_group_name_H-M_alt 'P 1'
_space_group_IT_number 1
loop_
_space_group_symop_operation_xyz
'x,y,z'
loop_
_atom_site_label
_atom_site_fract_x
_atom_site_fract_y
_atom_site_fract_z
Ru1 0.747 0.747 0.763
Ru2 0.998 0.998 0.997
W1 0.505 0.505 0.486
Co1 0.249 0.249 0.254
# **Energy relative to the lowest polymorph listed for this composition**: 142 meV/atom
# **Theoretical density**: 13.450 g/cm3
# **Total energy**: -9.54 eV per atom
# **Formation energy from the elements**: 0.12 eV/atom
# **Size of the total moment**: 0.048 μB per atom

# 7
# NaNbSN2, relaxed, DFT GGA-PBE
data_NaNbSN2
_cell_length_a 4.095
_cell_length_b 4.095
_cell_length_c 5.017
_cell_angle_alpha 90.00
_cell_angle_beta 90.00
_cell_angle_gamma 90.00
_space_group_name_H-M_alt 'P 1'
_space_group_IT_number 1
loop_
_space_group_symop_operation_xyz
'x,y,z'
loop_
_atom_site_label
_atom_site_fract_x
_atom_site_fract_y
_atom_site_fract_z
N1 0.500 0.000 0.000
N2 0.000 0.500 0.000
S1 0.000 0.000 0.500
Nb1 0.000 0.000 0.000
Na1 0.500 0.500 0.500
# **Raw formation energy**: -0.471 eV/f.u.
# **Energy relative to the lowest polymorph listed for this composition**: 0 meV/atom
# **Theoretical density**: 3.474 g/cm3
# **Total energy**: -6.53 eV per atom
# **Size of the total moment**: 0.314 μB per atom

# 8
# LiCa2Te, relaxed, DFT GGA-PBE
data_LiCa2Te
_cell_length_a 6.816
_cell_length_b 6.816
_cell_length_c 6.816
_cell_angle_alpha 141.35
_cell_angle_beta 141.35
_cell_angle_gamma 55.82
_space_group_name_H-M_alt 'P 1'
_space_group_IT_number 1
loop_
_space_group_symop_operation_xyz
'x,y,z'
loop_
_atom_site_label
_atom_site_fract_x
_atom_site_fract_y
_atom_site_fract_z
Ca1 0.000 0.000 0.000
Ca2 0.250 0.750 0.500
Li1 0.500 0.500 0.000
Te1 0.750 0.250 0.500
# **Raw formation energy**: -2.273 eV/f.u.
# **Theoretical density**: 2.908 g/cm3
# **Total energy**: -2.83 eV per atom
# **Size of the total moment**: 0.001 μB per atom